DFT (PBE) results for crystalline Ac2Ga4Ni3Pt at its relaxed geometry.

The value obtained for the total energy is -49.80 eV for the cell shown. The value obtained for the volume is 191.95 Å³/cell. The value obtained for the magnetic moment is 0.000 μB per atom.

```
Ac2Ga4Ni3Pt
1.0
4.339 0.000 0.000
0.000 4.339 0.000
0.000 0.000 10.194
Ac Ga Ni Pt
2 4 3 1
Cartesian
0.000 2.170 2.520
2.170 0.000 7.673
0.000 0.000 0.000
0.000 2.170 6.398
2.170 0.000 3.796
2.170 2.170 0.000
0.000 2.170 8.918
2.170 0.000 1.276
2.170 2.170 5.097
0.000 0.000 5.097
```


DFT (PBE) results for crystalline Ac2Ga3NiPt12 at its relaxed geometry.

The value obtained for the total energy is -101.58 eV for the cell shown. The value obtained for the volume is 377.28 Å³/cell. The value obtained for the magnetic moment is 0.034 μB per atom.

```
Ac2Ga3NiPt12
1.0
4.050 2.338 6.639
-4.050 2.338 6.639
0.000 -4.677 6.639
Ac Ga Ni Pt
2 3 1 12
Cartesian
0.000 0.000 2.576
0.000 0.000 17.340
-2.025 -1.169 6.639
-2.025 1.169 13.277
0.000 2.338 6.639
0.000 0.000 9.958
0.000 -2.327 5.831
-2.015 1.163 5.831
-1.963 -1.133 9.093
-2.015 -1.163 14.085
0.000 -2.267 10.824
-1.963 1.133 10.824
1.963 -1.133 9.093
0.000 2.267 9.093
2.015 1.163 5.831
1.963 1.133 10.824
2.015 -1.163 14.085
0.000 2.327 14.085
```


DFT (PBE) results for crystalline AcGaNiPt3 at its relaxed geometry.

The value obtained for the total energy is -69.10 eV for the cell shown. The value obtained for the volume is 239.01 Å³/cell. The value obtained for the magnetic moment is 0.000 μB per atom.

```
AcGaNiPt3
1.0
3.433 -5.997 0.000
3.433 5.997 0.000
0.000 0.000 5.805
Ac Ga Ni Pt
2 2 2 6
Cartesian
3.433 3.227 4.354
3.433 -3.227 1.451
3.433 4.503 1.451
3.433 -4.503 4.354
3.433 0.385 4.354
3.433 -0.385 1.451
1.435 0.000 0.000
1.435 0.000 2.903
3.433 2.087 1.451
3.433 -2.087 4.354
5.430 0.000 0.000
5.430 0.000 2.903
```


DFT (PBE) results for crystalline Ac2GaNiPt6 at its relaxed geometry.

The value obtained for the total energy is -61.30 eV for the cell shown. The value obtained for the volume is 211.29 Å³/cell. The value obtained for the magnetic moment is 0.000 μB per atom.

```
Ac2GaNiPt6
1.0
6.155 -2.756 0.000
6.155 2.756 0.000
-5.815 0.000 6.227
Ac Ga Ni Pt
2 1 1 6
Cartesian
1.817 0.000 1.258
4.678 0.000 4.970
-2.908 0.000 3.114
6.155 0.000 0.000
1.751 1.371 4.644
-0.439 0.000 3.777
4.744 1.371 1.584
1.751 -1.371 4.644
6.934 0.000 2.451
4.744 -1.371 1.584
```


DFT (PBE) results for crystalline Ac2Ga3Ni12Pt at its relaxed geometry.

The value obtained for the total energy is -93.36 eV for the cell shown. The value obtained for the volume is 287.69 Å³/cell. The value obtained for the magnetic moment is 0.000 μB per atom.

```
Ac2Ga3Ni12Pt
1.0
3.061 1.767 8.866
-3.061 1.767 8.866
0.000 -3.534 8.866
Ac Ga Ni Pt
2 3 12 1
Cartesian
0.000 0.000 3.999
0.000 0.000 22.600
-1.530 -0.883 8.866
-1.530 0.883 17.733
0.000 1.767 8.866
0.000 -2.153 7.627
-1.864 1.076 7.627
-1.257 -0.726 11.279
-1.864 -1.076 18.972
0.000 -1.452 15.320
-1.257 0.726 15.320
1.257 -0.726 11.279
0.000 1.452 11.279
1.864 1.076 7.627
1.257 0.726 15.320
1.864 -1.076 18.972
0.000 2.153 18.972
0.000 0.000 13.300
```


DFT (PBE) results for crystalline AcGa2NiPt4 at its relaxed geometry.

The value obtained for the total energy is -45.59 eV for the cell shown. The value obtained for the volume is 146.00 Å³/cell. The value obtained for the magnetic moment is 0.000 μB per atom.

```
AcGa2NiPt4
1.0
2.153 1.243 9.094
-2.153 1.243 9.094
0.000 -2.486 9.094
Ac Ga Ni Pt
1 2 1 4
Cartesian
0.000 0.000 0.000
0.000 0.000 6.361
0.000 0.000 20.921
0.000 0.000 13.641
0.000 0.000 3.675
0.000 0.000 11.090
0.000 0.000 16.192
0.000 0.000 23.607
```


DFT (PBE) results for crystalline AcGa2NiPt5 at its relaxed geometry.

The value obtained for the total energy is -50.35 eV for the cell shown. The value obtained for the volume is 183.07 Å³/cell. The value obtained for the magnetic moment is 0.113 μB per atom.

```
AcGa2NiPt5
1.0
4.114 0.000 0.000
0.000 4.114 0.000
0.000 0.000 10.818
Ac Ga Ni Pt
1 2 1 5
Cartesian
0.000 0.000 0.000
2.057 2.057 2.477
2.057 2.057 8.341
0.000 0.000 5.409
0.000 2.057 3.910
0.000 2.057 6.908
2.057 0.000 3.910
2.057 0.000 6.908
2.057 2.057 0.000
```


DFT (PBE) results for crystalline AcGaNiPt2 at its relaxed geometry.

The value obtained for the total energy is -55.49 eV for the cell shown. The value obtained for the volume is 207.87 Å³/cell. The value obtained for the magnetic moment is 0.000 μB per atom.

```
AcGaNiPt2
1.0
2.848 -6.314 0.000
2.848 6.314 0.000
0.000 0.000 5.780
Ac Ga Ni Pt
2 2 2 4
Cartesian
2.848 3.157 4.452
2.848 -3.157 1.328
1.424 0.000 2.890
4.272 0.000 2.890
0.000 0.000 0.000
2.848 0.000 0.000
2.848 4.526 1.681
2.848 1.788 1.681
2.848 -1.788 4.099
2.848 -4.526 4.099
```